Record 1
The following is a PBE-GGA calculation of a relaxed RbAg2Mo crystal, from Alexandria. Values from VASP.

The density of states at the Fermi level comes out at 0.53 states/eV/atom. The value obtained for the formation energy from the elements is 1.176 eV per atom. The calculation puts the calculated total energy at -3.20 eV/atom.

```
&SYSTEM
  ibrav = 0, nat = 8, ntyp = 3
/
ATOMIC_SPECIES
Ag 107.87 Ag.upf
Rb 85.47 Rb.upf
Mo 95.94 Mo.upf
CELL_PARAMETERS angstrom
-0.3399 -4.4086 -7.0955
8.2900 0.6959 -0.8295
4.3929 -4.7299 -2.1971
ATOMIC_POSITIONS crystal
Ag 0.8750 0.9303 0.7500
Ag 0.0697 0.6250 0.2500
Ag 0.6803 0.1250 0.2500
Rb 0.5000 0.5000 0.0000
Rb 0.2500 0.7500 0.5000
Mo 0.7500 0.2500 0.5000
Mo 0.0000 0.0000 0.0000
Ag 0.3750 0.3197 0.7500
```


Record 2
The following is a PBE-GGA calculation of a relaxed ReSiIr2 crystal, from Alexandria. Values from VASP.

The density of states at the Fermi level comes out at 1.39 states/eV/atom. The calculation puts the calculated total energy at -8.84 eV/atom.

```
&SYSTEM
  ibrav = 0, nat = 4, ntyp = 3
/
ATOMIC_SPECIES
Re 186.21 Re.upf
Ir 192.22 Ir.upf
Si 28.09 Si.upf
CELL_PARAMETERS angstrom
-3.2825 1.8163 -0.8403
0.6354 -0.5869 -3.7505
-1.9002 -3.3411 0.2009
ATOMIC_POSITIONS crystal
Re 0.5000 0.5000 0.0000
Ir 0.0000 0.0000 0.0000
Ir 0.0000 0.5000 0.5000
Si 0.5000 0.0000 0.5000
```


Record 3
The following is a PBE-GGA calculation of a relaxed Ga4AgPb crystal, from Alexandria. Values from VASP.

The density of states at the Fermi level comes out at 0.29 states/eV/atom. The value obtained for the formation energy from the elements is 0.114 eV per atom. The calculation puts the calculated total energy at -3.00 eV/atom.

```
&SYSTEM
  ibrav = 0, nat = 6, ntyp = 3
/
ATOMIC_SPECIES
Ag 107.87 Ag.upf
Pb 207.20 Pb.upf
Ga 69.72 Ga.upf
CELL_PARAMETERS angstrom
5.6523 0.0000 0.0000
2.8262 4.8950 0.0000
2.8262 1.6317 4.6151
ATOMIC_POSITIONS crystal
Ag 0.2500 0.2500 0.2500
Pb 0.0000 0.0000 0.0000
Ga 0.6238 0.1287 0.6238
Ga 0.6238 0.6238 0.1287
Ga 0.6238 0.6238 0.6238
Ga 0.1287 0.6238 0.6238
```